The following is a DFT calculation (GGA-PBE) of a relaxed structure of CeNbAs3.

CIF file:
```
data_CeNbAs3
_chemical_formula_sum 'Ce4 Nb4 As12'
_space_group_name_H-M_alt 'P b c m'
_space_group_IT_number 57
_cell_length_a 12.5061
_cell_length_b 5.8596
_cell_length_c 5.8212
_cell_angle_alpha 90.00
_cell_angle_beta 90.00
_cell_angle_gamma 90.00
loop_
_space_group_symop_operation_xyz
'x,y,z'
'-x,-y,-z'
'-x,-y,z+1/2'
'x,y,-z+1/2'
'x,-y+1/2,-z'
'-x,y+1/2,z'
'-x,y+1/2,-z+1/2'
'x,-y+1/2,z+1/2'
loop_
_atom_site_label
_atom_site_type_symbol
_atom_site_fract_x
_atom_site_fract_y
_atom_site_fract_z
_atom_site_occupancy
Ce1 Ce 0.1820 0.0065 0.2500 1
Nb1 Nb 0.4189 0.7500 0.0000 1
As1 As 0.0018 0.7500 0.0000 1
As2 As 0.2712 0.5125 0.2500 1
As3 As 0.4150 0.1242 0.2500 1
```

Calculated values
**ΔH_f (0 K)**: -0.8031 eV per atom
**Total moment**: 2.517 μB/cell
**D(E_F)**: 23.361 states/eV per cell
**Crystal system**: orthorhombic
**Calculated volume**: 21.3 Å³ per atom
**ρ**: 7.13 g/cm³